Material: Sr2NiIrF
Method: DFT, GGA+U
State: relaxed

Calculated values
As for the spin magnetization: 0.34 μB/cell. For the calculated total energy, the calculation gives -17.74 eV for the cell shown. The density of states at the Fermi level is 0.30 states/eV per atom.

Cell and atoms, written as CIF:
```
data_Sr2NiIrF
_chemical_formula_sum 'Sr2 Ni1 Ir1 F1'
_cell_length_a 5.608
_cell_length_b 5.608
_cell_length_c 3.712
_cell_angle_alpha 90.00
_cell_angle_beta 90.00
_cell_angle_gamma 90.00
_space_group_name_H-M_alt 'P 4/m m m'
_space_group_IT_number 123
_space_group_name_Hall '-P 4 2'
loop_
_atom_site_label
_atom_site_type_symbol
_atom_site_fract_x
_atom_site_fract_y
_atom_site_fract_z
_atom_site_occupancy
Sr1 Sr 0.000 0.500 0.000 1
Ni1 Ni 0.000 0.000 0.000 1
Ir1 Ir 0.500 0.500 0.500 1
F1 F 0.000 0.000 0.500 1
```